[1]
# Pm4SnHgN PBE-GGA optimized geometry
data_Pm4SnHgN
_chemical_formula_sum 'Pm16 Sn4 Hg4 N4'
_space_group_name_H-M_alt 'C m c m'
_space_group_IT_number 63
_space_group_name_Hall '-C 2c 2'
_cell_length_a 6.9154
_cell_length_b 16.0480
_cell_length_c 6.9138
_cell_angle_alpha 90.00
_cell_angle_beta 90.00
_cell_angle_gamma 90.00
loop_
_atom_site_label
_atom_site_type_symbol
_atom_site_fract_x
_atom_site_fract_y
_atom_site_fract_z
_atom_site_occupancy
Pm1 Pm 0.0000 0.0806 0.2500 1
Pm2 Pm 0.0000 0.4129 0.2500 1
Pm3 Pm 0.2500 0.2500 0.0000 1
Sn1 Sn 0.0000 0.3888 0.7500 1
Hg1 Hg 0.0000 0.1151 0.7500 1
N1 N 0.0000 0.2520 0.2500 1
# - Calculated volume: 191.8 Å³/f.u.
# - N(E_F): 15.87 states/eV/cell
# - Formation energy (no corrections): -0.7757 eV per atom
# - Energy: -148.3 eV per cell

[2]
# PmY2HgN PBE-GGA optimized geometry
data_PmY2HgN
_chemical_formula_sum 'Pm1 Y2 Hg1 N1'
_space_group_name_H-M_alt 'P 4/m m m'
_space_group_IT_number 123
_space_group_name_Hall '-P 4 2'
_cell_length_a 4.8187
_cell_length_b 4.8187
_cell_length_c 4.9722
_cell_angle_alpha 90.00
_cell_angle_beta 90.00
_cell_angle_gamma 90.00
loop_
_atom_site_label
_atom_site_type_symbol
_atom_site_fract_x
_atom_site_fract_y
_atom_site_fract_z
_atom_site_occupancy
Pm1 Pm 0.0000 0.0000 0.0000 1
Y1 Y 0.0000 0.5000 0.5000 1
Hg1 Hg 0.5000 0.5000 0.0000 1
N1 N 0.0000 0.0000 0.5000 1
# - Calculated volume: 115.5 Å³/f.u.
# - N(E_F): 3.70 states/eV/cell
# - Formation energy (no corrections): -0.8869 eV per atom
# - Energy: -30.7 eV per cell

[3]
# Pr6HgN PBE-GGA optimized geometry
data_Pr6HgN
_chemical_formula_sum 'Pr6 Hg1 N1'
_space_group_name_H-M_alt 'P -1'
_space_group_IT_number 2
_space_group_name_Hall '-P 1'
_cell_length_a 6.7779
_cell_length_b 6.8083
_cell_length_c 7.4744
_cell_angle_alpha 63.22
_cell_angle_beta 63.53
_cell_angle_gamma 60.26
loop_
_atom_site_label
_atom_site_type_symbol
_atom_site_fract_x
_atom_site_fract_y
_atom_site_fract_z
_atom_site_occupancy
Pr1 Pr 0.0384 0.3972 0.2753 1
Pr2 Pr 0.2126 0.9636 0.7246 1
Pr3 Pr 0.3952 0.7886 0.2770 1
Hg1 Hg 0.5000 0.5000 0.0000 1
N1 N 0.0000 0.0000 0.5000 1
# - Calculated volume: 256.1 Å³/f.u.
# - N(E_F): 8.54 states/eV/cell
# - Formation energy (no corrections): -0.3145 eV per atom
# - Energy: -39.8 eV per cell

[4]
# Pr6Hg3N PBE-GGA optimized geometry
data_Pr6Hg3N
_chemical_formula_sum 'Pr12 Hg6 N2'
_space_group_name_H-M_alt 'P 1 21/c 1'
_space_group_IT_number 14
_space_group_name_Hall '-P 2ybc'
_cell_length_a 6.7511
_cell_length_b 8.3479
_cell_length_c 12.0139
_cell_angle_alpha 90.00
_cell_angle_beta 119.41
_cell_angle_gamma 90.00
loop_
_atom_site_label
_atom_site_type_symbol
_atom_site_fract_x
_atom_site_fract_y
_atom_site_fract_z
_atom_site_occupancy
Pr1 Pr 0.0741 0.0504 0.2240 1
Pr2 Pr 0.1822 0.7242 0.0636 1
Pr3 Pr 0.3758 0.1453 0.0519 1
Hg1 Hg 0.3188 0.1120 0.7359 1
Hg2 Hg 0.5000 0.0000 0.5000 1
N1 N 0.0000 0.0000 0.0000 1
# - Calculated volume: 294.9 Å³/f.u.
# - N(E_F): 21.07 states/eV/cell
# - Formation energy (no corrections): -0.4904 eV per atom
# - Energy: -85.6 eV per cell

[5]
# Pr12Hg6N PBE-GGA optimized geometry
data_Pr12Hg6N
_chemical_formula_sum 'Pr36 Hg18 N3'
_space_group_name_H-M_alt 'R -3'
_space_group_IT_number 148
_space_group_name_Hall '-R 3'
_cell_length_a 12.4751
_cell_length_b 12.4751
_cell_length_c 13.2783
_cell_angle_alpha 90.00
_cell_angle_beta 90.00
_cell_angle_gamma 120.00
loop_
_atom_site_label
_atom_site_type_symbol
_atom_site_fract_x
_atom_site_fract_y
_atom_site_fract_z
_atom_site_occupancy
Pr1 Pr 0.0328 0.8540 0.3891 1
Pr2 Pr 0.0355 0.1874 0.8834 1
Hg1 Hg 0.0019 0.3981 0.7494 1
N1 N 0.0000 0.0000 0.5000 1
# - Calculated volume: 596.5 Å³/f.u.
# - N(E_F): 60.53 states/eV/cell
# - Formation energy (no corrections): -0.3698 eV per atom
# - Energy: -223.5 eV per cell

[6]
# Pr12Hg3N5 PBE-GGA optimized geometry
data_Pr12Hg3N5
_chemical_formula_sum 'Pr96 Hg24 N40'
_space_group_name_H-M_alt 'I a -3 d'
_space_group_IT_number 230
_space_group_name_Hall '-I 4bd 2c 3'
_cell_length_a 16.3433
_cell_length_b 16.3433
_cell_length_c 16.3433
_cell_angle_alpha 90.00
_cell_angle_beta 90.00
_cell_angle_gamma 90.00
loop_
_atom_site_label
_atom_site_type_symbol
_atom_site_fract_x
_atom_site_fract_y
_atom_site_fract_z
_atom_site_occupancy
Pr1 Pr 0.0374 0.0504 0.6476 1
Hg1 Hg 0.0000 0.2500 0.1250 1
N1 N 0.0000 0.0000 0.0000 1
N2 N 0.0000 0.2500 0.3750 1
# - Calculated volume: 545.7 Å³/f.u.
# - N(E_F): 143.39 states/eV/cell
# - Formation energy (no corrections): -0.6886 eV per atom
# - Energy: -909.3 eV per cell

[7]
# Pr7Hg3N2 PBE-GGA optimized geometry
data_Pr7Hg3N2
_chemical_formula_sum 'Pr14 Hg6 N4'
_space_group_name_H-M_alt 'C m m m'
_space_group_IT_number 65
_space_group_name_Hall '-C 2 2'
_cell_length_a 5.0941
_cell_length_b 24.4973
_cell_length_c 5.0430
_cell_angle_alpha 90.00
_cell_angle_beta 90.00
_cell_angle_gamma 90.00
loop_
_atom_site_label
_atom_site_type_symbol
_atom_site_fract_x
_atom_site_fract_y
_atom_site_fract_z
_atom_site_occupancy
Pr1 Pr 0.0000 0.0000 0.0000 1
Pr2 Pr 0.0000 0.1016 0.5000 1
Pr3 Pr 0.0000 0.2035 0.0000 1
Pr4 Pr 0.0000 0.3998 0.0000 1
Hg1 Hg 0.0000 0.3009 0.5000 1
Hg2 Hg 0.0000 0.5000 0.5000 1
N1 N 0.0000 0.1045 0.0000 1
# - Calculated volume: 314.7 Å³/f.u.
# - N(E_F): 12.43 states/eV/cell
# - Formation energy (no corrections): -0.6751 eV per atom
# - Energy: -118.2 eV per cell

[8]
# Pr3HgN2 PBE-GGA optimized geometry
data_Pr3HgN2
_chemical_formula_sum 'Pr6 Hg2 N4'
_space_group_name_H-M_alt 'P m c 21'
_space_group_IT_number 26
_space_group_name_Hall 'P 2c -2'
_cell_length_a 3.5693
_cell_length_b 11.9989
_cell_length_c 6.2462
_cell_angle_alpha 90.00
_cell_angle_beta 90.00
_cell_angle_gamma 90.00
loop_
_atom_site_label
_atom_site_type_symbol
_atom_site_fract_x
_atom_site_fract_y
_atom_site_fract_z
_atom_site_occupancy
Pr1 Pr 0.0000 0.0837 0.0000 1
Pr2 Pr 0.5000 0.1676 0.5198 1
Pr3 Pr 0.5000 0.3681 0.9175 1
Hg1 Hg 0.0000 0.3902 0.3608 1
N1 N 0.0000 0.2566 0.7654 1
N2 N 0.5000 0.0020 0.2604 1
# - Energy relative to the lowest polymorph listed for this composition: 25 meV/atom
# - Calculated volume: 133.8 Å³/f.u.
# - N(E_F): 7.36 states/eV/cell
# - Formation energy (no corrections): -0.9062 eV per atom
# - Energy: -73.5 eV per cell

Q: N(E_F) of number 8 (Pr3HgN2)?
A: 7.36 states/eV/cell

Q: What is the formation energy (no corrections) in the fifth record?
A: -0.3698 eV per atom

Copy entry 8 word for word.
# Pr3HgN2 PBE-GGA optimized geometry
data_Pr3HgN2
_chemical_formula_sum 'Pr6 Hg2 N4'
_space_group_name_H-M_alt 'P m c 21'
_space_group_IT_number 26
_space_group_name_Hall 'P 2c -2'
_cell_length_a 3.5693
_cell_length_b 11.9989
_cell_length_c 6.2462
_cell_angle_alpha 90.00
_cell_angle_beta 90.00
_cell_angle_gamma 90.00
loop_
_atom_site_label
_atom_site_type_symbol
_atom_site_fract_x
_atom_site_fract_y
_atom_site_fract_z
_atom_site_occupancy
Pr1 Pr 0.0000 0.0837 0.0000 1
Pr2 Pr 0.5000 0.1676 0.5198 1
Pr3 Pr 0.5000 0.3681 0.9175 1
Hg1 Hg 0.0000 0.3902 0.3608 1
N1 N 0.0000 0.2566 0.7654 1
N2 N 0.5000 0.0020 0.2604 1
# - Energy relative to the lowest polymorph listed for this composition: 25 meV/atom
# - Calculated volume: 133.8 Å³/f.u.
# - N(E_F): 7.36 states/eV/cell
# - Formation energy (no corrections): -0.9062 eV per atom
# - Energy: -73.5 eV per cell

Q: Among the records above, which one has the lowest N(E_F)?
A: PmY2HgN